VASP calculation (SCAN) on a crystal of LiZr2Cd relaxed with PBEsol.

```
LiZr2Cd
1.0
3.094 0.000 0.000
0.000 3.094 0.000
0.000 0.000 8.404
Zr Cd Li
2 1 1
Direct
0.000 0.000 0.995
0.500 0.500 0.255
0.000 0.000 0.526
0.500 0.500 0.724
```

**Energy of formation from the pure elements**: -0.082 eV per atom
**Space group**: No. 99